Entry from the Alexandria database: crystalline Ca2H8Ru at its relaxed geometry (PBE).

Results
Its uncorrected energy is -3.9275 eV per atom. Its magnetic moment is 0.0000 μB/atom.

Cell: 14.6857 3.2671 4.3206 Å, 90.00 107.05 90.00°
With the nearest neighbours (Å) after each atom.
Space group C2/m (No. 12)
Inequivalent atoms, fractional coordinates:
Ca 0.1574 0.0000 0.1643 x4  8 H 2.19-2.45
H 0.9999 0.0000 0.3035 x4  1 H 1.70, 2 Ru 1.84
H 0.0579 0.5000 0.8938 x4  1 Ru 1.66
H 0.1140 0.5000 0.4804 x4  1 Ru 1.70
H 0.2390 0.0000 0.7452 x4  4 Ca 2.19-2.45
Ru 0.0000 0.5000 0.5000 x2  8 H 1.66-1.84


Entry from the Alexandria database: crystalline CaH3Ru at its relaxed geometry (PBE).

Results
Its uncorrected energy is -4.5483 eV per atom. Its magnetic moment is 0.0000 μB/atom.

Cell: 5.6269 4.9958 8.9685 Å, 90.00 111.17 90.00°
With the nearest neighbours (Å) after each atom.
Space group P2_1/c (No. 14)
Inequivalent atoms, fractional coordinates:
Ca 0.2162 0.1780 0.1899 x4  6 H 2.19-2.45
H 0.1353 0.5861 0.8822 x4  1 Ru 1.66
H 0.2622 0.0862 0.9338 x4  2 Ru 1.76-1.94
H 0.4512 0.0026 0.6019 x4  2 Ru 1.76-1.77
Ru 0.4001 0.7360 0.4661 x4  4 H 1.66-1.77


Entry from the Alexandria database: crystalline CaHRu3 at its relaxed geometry (PBE).

Results
Its uncorrected energy is -3.7422 eV per atom. Its magnetic moment is 1.3259 μB/atom. For the relative energy among the computed polymorphs, the calculation gives 2.500 eV per atom.

Cell: 4.8594 4.8594 4.8594 Å, 90.00 90.00 90.00°
With the nearest neighbours (Å) after each atom.
Space group Pm-3m (No. 221)
Inequivalent atoms, fractional coordinates:
Ca 0.0000 0.0000 0.0000 x1  6 Ru 2.43
H 0.5000 0.5000 0.5000 x1  12 Ru 3.44
Ru 0.0000 0.0000 0.5000 x3  2 Ca 2.43


Entry from the Alexandria database: crystalline CaH3Ru at its relaxed geometry (PBE).

Results
Its uncorrected energy is -4.4385 eV per atom. Its magnetic moment is 0.0000 μB/atom.

Cell: 9.3364 9.3364 9.3364 Å, 90.00 90.00 90.00°
With the nearest neighbours (Å) after each atom.
Space group Fd-3m (No. 227, origin choice 2)
Inequivalent atoms, fractional coordinates:
Ca 0.0000 0.0000 0.0000 x16  6 H 2.35
H 0.0713 0.3750 0.8750 x48  2 Ru 1.78
Ru 0.0000 0.0000 0.5000 x16  6 H 1.78


Entry from the Alexandria database: crystalline CaH3Ru at its relaxed geometry (PBE).

Results
Its uncorrected energy is -4.4744 eV per atom. Its magnetic moment is 0.0000 μB/atom.

Cell: 5.4835 6.2288 5.7881 Å, 90.00 90.00 90.00°
With the nearest neighbours (Å) after each atom.
Space group Pnma (No. 62)
Inequivalent atoms, fractional coordinates:
Ca 0.0000 0.0000 0.0000 x4  6 H 2.25-2.48
H 0.1023 0.0226 0.3764 x8  2 Ru 1.80-1.84, 1 H 1.84
H 0.2300 0.2500 0.7461 x4  2 Ru 1.83-1.89
Ru 0.0165 0.7500 0.4674 x4  6 H 1.80-1.89


Entry from the Alexandria database: crystalline CaH3Ru at its relaxed geometry (PBE).

Results
Its uncorrected energy is -4.6009 eV per atom. Its magnetic moment is 0.0000 μB/atom.

Cell: 5.3716 3.4001 5.4157 Å, 90.00 100.98 90.00°
With the nearest neighbours (Å) after each atom.
Space group P2/m (No. 10)
Inequivalent atoms, fractional coordinates:
Ca 0.2485 0.0000 0.2771 x2  10 H 2.35-2.60
H 0.0000 0.5000 0.0000 x1  2 Ru 1.84
H 0.0000 0.5000 0.5000 x1  2 Ru 1.84
H 0.3173 0.0000 0.8480 x2  2 Ru 1.76
H 0.4475 0.5000 0.6189 x2  1 H 1.50, 1 Ru 1.61
Ru 0.2371 0.5000 0.7947 x2  3 H 1.61-1.76


Entry from the Alexandria database: crystalline CaHRu3 at its relaxed geometry (PBE).

Results
Its uncorrected energy is -6.2424 eV per atom. Its magnetic moment is 0.2663 μB/atom. For the relative energy among the computed polymorphs, the calculation gives 0.000 eV per atom.

Cell: 4.0701 4.0701 4.0701 Å, 90.00 90.00 90.00°
With the nearest neighbours (Å) after each atom.
Space group Pm-3m (No. 221)
Inequivalent atoms, fractional coordinates:
Ca 0.0000 0.0000 0.0000 x1  12 Ru 2.88
H 0.5000 0.5000 0.5000 x1  6 Ru 2.04
Ru 0.0000 0.5000 0.5000 x3  2 H 2.04


Entry from the Alexandria database: crystalline Ca2HRu at its relaxed geometry (PBE).

Results
Its uncorrected energy is -3.8795 eV per atom. Its magnetic moment is 0.2229 μB/atom. For the relative energy among the computed polymorphs, the calculation gives 0.000 eV per atom.

Cell: 6.6588 6.6588 7.1954 Å, 90.00 90.00 90.00°
With the nearest neighbours (Å) after each atom.
Space group I-42d (No. 122)
Inequivalent atoms, fractional coordinates:
Ca 0.1743 0.2500 0.1250 x8  2 H 2.22
H 0.0000 0.0000 0.0000 x4  4 Ca 2.22
Ru 0.0000 0.0000 0.5000 x4  4 Ca 2.88